No. 1
A plane-wave DFT calculation with PBE-GGA was carried out for a relaxed structure of Ta3InPb5.

Computed properties:
- space group = No. 191
- size of the total moment (μB/f.u.) = 0.00

Structure (POSCAR):
```
Ta3InPb5
1.0
5.7276 0.0000 0.0000
-2.8638 4.9603 0.0000
0.0000 0.0000 8.8648
In Pb Ta
1 5 3
Direct
0.0000 0.0000 0.0000
0.6667 0.3333 0.2036
0.3333 0.6667 0.2036
0.0000 0.0000 0.5000
0.6667 0.3333 0.7964
0.3333 0.6667 0.7964
0.5000 0.0000 0.5000
0.0000 0.5000 0.5000
0.5000 0.5000 0.5000
```

No. 2
A plane-wave DFT calculation with PBE-GGA was carried out for a relaxed structure of Tm5InPb3.

Computed properties:
- space group = No. 193
- size of the total moment (μB/f.u.) = 0.02

Structure (POSCAR):
```
Tm5InPb3
1.0
9.2881 0.0000 0.0000
-4.6440 8.0437 0.0000
0.0000 0.0000 6.5247
In Pb Tm
2 6 10
Direct
0.0000 0.0000 0.0000
0.0000 0.0000 0.5000
0.3802 0.0000 0.2500
0.0000 0.3802 0.2500
0.6198 0.6198 0.2500
0.6198 0.0000 0.7500
0.3802 0.3802 0.7500
0.0000 0.6198 0.7500
0.6667 0.3333 0.0000
0.3333 0.6667 0.0000
0.7239 0.0000 0.2500
0.2761 0.2761 0.2500
0.0000 0.7239 0.2500
0.6667 0.3333 0.5000
0.3333 0.6667 0.5000
0.2761 0.0000 0.7500
0.0000 0.2761 0.7500
0.7239 0.7239 0.7500
```

No. 3
A plane-wave DFT calculation with PBE-GGA was carried out for a relaxed structure of ZnIn2Pb.

Computed properties:
- space group = No. 216

Structure (POSCAR):
```
ZnIn2Pb
1.0
-3.9413 -0.7198 3.4835
-4.2985 -2.7872 -1.3935
-0.8443 -4.8034 2.0980
In Pb Zn
2 1 1
Direct
0.0000 0.0000 0.0000
0.7500 0.7500 0.7500
0.5000 0.5000 0.5000
0.2500 0.2500 0.2500
```

No. 4
A plane-wave DFT calculation with PBE-GGA was carried out for a relaxed structure of In7Pd3.

Computed properties:
- space group = No. 229

Structure (POSCAR):
```
In7Pd3
1.0
-4.7769 -4.7769 4.7769
-4.7769 4.7769 -4.7769
4.7769 -4.7769 -4.7769
In Pd
14 6
Direct
0.3247 0.0000 0.0000
0.6753 0.0000 0.0000
0.0000 0.3247 0.0000
0.0000 0.6753 0.0000
0.7500 0.5000 0.2500
0.5000 0.7500 0.2500
0.0000 0.0000 0.3247
0.3247 0.3247 0.3247
0.7500 0.2500 0.5000
0.2500 0.7500 0.5000
0.0000 0.0000 0.6753
0.6753 0.6753 0.6753
0.5000 0.2500 0.7500
0.2500 0.5000 0.7500
0.3479 0.3479 0.0000
0.6521 0.6521 0.0000
0.3479 0.0000 0.3479
0.0000 0.3479 0.3479
0.6521 0.0000 0.6521
0.0000 0.6521 0.6521
```

No. 5
A plane-wave DFT calculation with PBE-GGA was carried out for a relaxed structure of InPd7.

Computed properties:
- space group = No. 12

Structure (POSCAR):
```
InPd7
1.0
-2.7733 0.5117 -0.5684
0.3070 -1.2175 -2.5891
-10.0704 -36.8129 16.1435
In Pd
2 14
Direct
0.9996 0.5001 0.1584
0.4991 0.9999 0.8415
0.4998 0.0000 0.2068
0.0000 0.4998 0.2536
0.5001 0.9998 0.2990
0.0002 0.4998 0.3437
0.5003 0.9999 0.3884
0.0001 0.5000 0.4330
0.5001 0.0002 0.4777
0.0001 0.5002 0.5223
0.5002 0.0001 0.5670
0.0002 0.5000 0.6116
0.5002 0.0000 0.6563
0.0002 0.5001 0.7010
0.5000 0.0001 0.7463
0.9997 0.5001 0.7932
```

No. 6
A plane-wave DFT calculation with PBE-GGA was carried out for a relaxed structure of In2Pd.

Computed properties:
- space group = No. 227

Structure (POSCAR):
```
In2Pd
1.0
-3.0166 -3.6117 3.3118
-5.6354 0.8508 0.7939
-3.8155 -3.5858 -2.3867
In Pd
4 2
Direct
0.6250 0.6250 0.1250
0.6250 0.1250 0.6250
0.1250 0.6250 0.6250
0.6250 0.6250 0.6250
0.0000 0.0000 0.0000
0.2500 0.2500 0.2500
```

No. 7
A plane-wave DFT calculation with PBE-GGA was carried out for a relaxed structure of InPd15.

Computed properties:
- space group = No. 13

Structure (POSCAR):
```
InPd15
1.0
-3.8913 2.7608 0.3602
-0.5905 -3.9161 2.6860
14.3132 16.6020 27.3501
In Pd
2 30
Direct
0.2500 0.0000 0.1990
0.7500 0.0000 0.8010
0.7500 0.5000 0.2000
0.2500 0.5000 0.2390
0.7500 0.0000 0.2390
0.7500 0.5000 0.2805
0.2500 0.0000 0.2810
0.7500 0.0000 0.3206
0.2500 0.5000 0.3206
0.7500 0.4999 0.3605
0.2500 0.0000 0.3609
0.2500 0.5000 0.4005
0.7500 0.0000 0.4005
0.7500 0.5000 0.4402
0.2500 0.0000 0.4404
0.7500 0.0000 0.4801
0.2500 0.5000 0.4802
0.7500 0.5000 0.5198
0.2500 0.0000 0.5199
0.7500 0.0000 0.5596
0.2500 0.5000 0.5598
0.2500 0.0000 0.5995
0.7500 0.5000 0.5995
0.7500 0.0000 0.6391
0.2500 0.5001 0.6395
0.7500 0.5000 0.6794
0.2500 0.0000 0.6794
0.7500 0.0000 0.7190
0.2500 0.5000 0.7195
0.2500 0.0000 0.7610
0.7500 0.5000 0.7610
0.2500 0.5000 0.8000
```

No. 8
A plane-wave DFT calculation with PBE-GGA was carried out for a relaxed structure of InPd17.

Computed properties:
- space group = No. 164

Structure (POSCAR):
```
InPd17
1.0
4.7939 -2.7679 0.0000
4.7939 2.7679 0.0000
-0.0026 0.0000 30.8268
In Pd
2 34
Direct
0.3334 0.3334 0.1986
0.6667 0.6667 0.8014
0.8337 0.8337 0.2036
0.8337 0.3327 0.2036
0.3327 0.8337 0.2036
0.4996 0.4996 0.2779
0.4996 0.0009 0.2779
0.0009 0.4996 0.2779
0.0000 0.0000 0.2785
0.1668 0.1668 0.3525
0.6665 0.1668 0.3525
0.1668 0.6665 0.3525
0.6667 0.6667 0.3527
0.3334 0.3334 0.4262
0.8335 0.8335 0.4265
0.8336 0.3330 0.4265
0.3330 0.8336 0.4265
0.5001 0.0000 0.5000
0.0000 0.5001 0.5000
0.5000 0.5000 0.5000
0.0000 0.0000 0.5000
0.1665 0.1665 0.5736
0.6669 0.1666 0.5736
0.1666 0.6669 0.5736
0.6667 0.6667 0.5738
0.3334 0.3334 0.6473
0.8332 0.3336 0.6475
0.3336 0.8332 0.6475
0.8332 0.8332 0.6475
0.0000 0.0000 0.7215
0.9990 0.5005 0.7220
0.5005 0.9990 0.7220
0.5005 0.5005 0.7220
0.6673 0.1664 0.7963
0.1664 0.6673 0.7963
0.1664 0.1664 0.7963
```

No. 9
A plane-wave DFT calculation with PBE-GGA was carried out for a relaxed structure of InPd3.

Computed properties:
- space group = No. 139

Structure (POSCAR):
```
InPd3
1.0
-2.0799 2.0799 3.7808
2.0799 -2.0799 3.7808
2.0799 2.0799 -3.7808
In Pd
1 3
Direct
0.0000 0.0000 0.0000
0.5000 0.5000 0.0000
0.7500 0.2500 0.5000
0.2500 0.7500 0.5000
```

No. 10
A plane-wave DFT calculation with PBE-GGA was carried out for a relaxed structure of In2Pd9.

Computed properties:
- space group = No. 164

Structure (POSCAR):
```
In2Pd9
1.0
-2.4850 -0.3490 1.3247
1.5498 -2.2627 -0.7280
15.4411 1.1585 29.2696
In Pd
2 9
Direct
0.6667 0.3333 0.1588
0.3333 0.6667 0.8412
0.3333 0.6667 0.2296
0.0000 0.0000 0.2987
0.6667 0.3333 0.3661
0.3333 0.6667 0.4334
0.0000 0.0000 0.5000
0.6667 0.3333 0.5666
0.3333 0.6667 0.6339
0.0000 0.0000 0.7013
0.6667 0.3333 0.7704
```

No. 11
A plane-wave DFT calculation with PBE-GGA was carried out for a relaxed structure of InPd15.

Computed properties:
- space group = No. 2

Structure (POSCAR):
```
InPd15
1.0
2.8140 0.0000 0.0000
-0.0093 5.5328 0.0000
-0.0429 -0.0018 43.9744
In Pd
2 30
Direct
0.7493 0.8748 0.1650
0.2508 0.1247 0.8350
0.7501 0.3754 0.1656
0.2498 0.6238 0.2116
0.2498 0.1261 0.2117
0.7499 0.8748 0.2566
0.7495 0.3754 0.2573
0.2500 0.1241 0.3012
0.2502 0.6255 0.3013
0.7500 0.8753 0.3454
0.7499 0.3748 0.3458
0.2500 0.6249 0.3901
0.2501 0.1250 0.3901
0.7500 0.8749 0.4342
0.7500 0.3751 0.4344
0.2500 0.1247 0.4781
0.2501 0.6250 0.4781
0.7503 0.8753 0.5218
0.7501 0.3752 0.5219
0.2498 0.6248 0.5657
0.2500 0.1247 0.5657
0.7497 0.8755 0.6099
0.7503 0.3746 0.6099
0.2501 0.6247 0.6542
0.2501 0.1253 0.6546
0.7499 0.8754 0.6987
0.7499 0.3746 0.6988
0.2502 0.6250 0.7427
0.2501 0.1248 0.7433
0.7502 0.8740 0.7882
0.7502 0.3766 0.7883
0.2498 0.6253 0.8345
```

No. 12
A plane-wave DFT calculation with PBE-GGA was carried out for a relaxed structure of InPd7.

Computed properties:
- space group = No. 11

Structure (POSCAR):
```
InPd7
1.0
2.8169 0.0000 0.0000
0.0000 3.8625 0.0000
-0.0221 0.0000 33.7332
In Pd
2 14
Direct
0.0000 0.0000 0.1884
0.5006 0.5000 0.8116
0.5002 0.5000 0.2288
0.0003 0.0000 0.2731
0.5003 0.5000 0.3140
0.0002 0.0000 0.3560
0.5002 0.5000 0.3970
0.0000 0.0000 0.4383
0.4999 0.5000 0.4795
0.9998 0.0000 0.5205
0.4996 0.5000 0.5617
0.9994 0.0000 0.6030
0.4995 0.5000 0.6440
0.9998 0.0000 0.6860
0.5001 0.5000 0.7269
0.0003 0.0000 0.7712
```

No. 13
A plane-wave DFT calculation with PBE-GGA was carried out for a relaxed structure of InPd15.

Computed properties:
- space group = No. 51

Structure (POSCAR):
```
InPd15
1.0
-3.4516 -1.3216 -1.2878
11.3653 -41.2608 11.8818
-1.5485 0.5938 3.5433
In Pd
2 30
Direct
0.0000 0.1690 0.2500
0.0000 0.8310 0.7500
0.5000 0.2139 0.2500
0.0000 0.2581 0.2500
0.5000 0.3019 0.2500
0.0000 0.3459 0.2500
0.5000 0.3899 0.2500
0.0000 0.4340 0.2500
0.5000 0.4780 0.2500
0.0000 0.5220 0.2500
0.5000 0.5661 0.2500
0.0000 0.6101 0.2500
0.5000 0.6541 0.2500
0.0000 0.6981 0.2500
0.5000 0.7421 0.2500
0.0000 0.7861 0.2500
0.5000 0.8309 0.2500
0.5000 0.1691 0.7500
0.0000 0.2139 0.7500
0.5000 0.2579 0.7500
0.0000 0.3019 0.7500
0.5000 0.3459 0.7500
0.0000 0.3899 0.7500
0.5000 0.4339 0.7500
0.0000 0.4780 0.7500
0.5000 0.5220 0.7500
0.0000 0.5660 0.7500
0.5000 0.6101 0.7500
0.0000 0.6541 0.7500
0.5000 0.6981 0.7500
0.0000 0.7419 0.7500
0.5000 0.7861 0.7500
```

No. 14
A plane-wave DFT calculation with PBE-GGA was carried out for a relaxed structure of InPd15.

Computed properties:
- space group = No. 2

Structure (POSCAR):
```
InPd15
1.0
3.8993 0.0000 0.0000
0.0068 5.5369 0.0000
0.1293 0.0148 35.3143
In Pd
2 30
Direct
0.2495 0.1247 0.2011
0.7507 0.8754 0.7989
0.2494 0.6247 0.2016
0.7503 0.8743 0.2405
0.7503 0.3754 0.2405
0.2496 0.1249 0.2818
0.2496 0.6249 0.2820
0.7501 0.3743 0.3216
0.7501 0.8756 0.3217
0.2498 0.6250 0.3614
0.2498 0.1250 0.3618
0.7499 0.3752 0.4011
0.7500 0.8748 0.4012
0.2500 0.6250 0.4406
0.2499 0.1251 0.4408
0.7499 0.3752 0.4803
0.7499 0.8748 0.4803
0.2500 0.1252 0.5197
0.2500 0.6248 0.5197
0.7499 0.8748 0.5592
0.7499 0.3751 0.5593
0.2500 0.1252 0.5988
0.2500 0.6248 0.5989
0.7501 0.8751 0.6382
0.7501 0.3749 0.6386
0.2499 0.1244 0.6784
0.2499 0.6257 0.6784
0.7505 0.3751 0.7180
0.7505 0.8751 0.7182
0.2499 0.6247 0.7595
0.2498 0.1257 0.7595
0.7508 0.3753 0.7984
```

No. 15
A plane-wave DFT calculation with PBE-GGA was carried out for a relaxed structure of InPd15.

Computed properties:
- space group = No. 11

Structure (POSCAR):
```
InPd15
1.0
-1.7914 2.1337 -0.1316
-5.9655 -5.0100 0.0391
-0.9059 1.3506 34.4320
In Pd
2 30
Direct
0.7496 0.1254 0.1946
0.2502 0.8747 0.8054
0.7498 0.6245 0.1978
0.2499 0.8769 0.2347
0.2498 0.3730 0.2349
0.7500 0.1246 0.2774
0.7500 0.6252 0.2779
0.2500 0.3725 0.3178
0.2500 0.8775 0.3179
0.7501 0.6251 0.3581
0.7501 0.1249 0.3592
0.2501 0.3748 0.3990
0.2501 0.8751 0.3991
0.7501 0.6247 0.4391
0.7501 0.1253 0.4398
0.2501 0.8742 0.4798
0.2501 0.3757 0.4800
0.7500 0.6243 0.5200
0.7500 0.1258 0.5202
0.2500 0.8747 0.5602
0.2500 0.3753 0.5609
0.7500 0.1249 0.6009
0.7500 0.6252 0.6010
0.2500 0.8751 0.6408
0.2500 0.3749 0.6419
0.7499 0.1226 0.6821
0.7499 0.6274 0.6822
0.2500 0.3748 0.7221
0.2500 0.8754 0.7226
0.7501 0.6268 0.7651
0.7501 0.1233 0.7653
0.2502 0.3755 0.8023
```

The following ρ values (in g cm⁻³) correspond, in order, to the records above: 11.2 10.8 7.9 8.6 8.3 8.3 7.5 7.8 11.0 8.5 8.3 7.8 8.4 7.5 7.6.
The following DFT total energy values (in eV/atom) correspond, in order, to the records above: -5.948 -4.468 -2.497 -3.857 -4.883 -3.249 -5.028 -5.036 -5.024 -4.694 -5.028 -4.917 -5.060 -5.027 -4.988.